# 1
Computed, not measured: a relaxed structure of Na2TbTiS4 at the PBE-GGA level of DFT.

Values from the calculation:
formation energy (no corrections)	-1.543	eV/atom
final energy	-0.4044	Ry/atom

Lattice parameters (Å, degrees): 3.798 6.602 7.038 108.19 90.00 90.00
Fractional positions:
Na: 0.500 0.000 0.500
Na: 0.000 0.500 0.500
Tb: 0.500 0.500 0.000
Ti: 0.000 0.000 0.000
S: 0.500 0.219 0.214
S: 0.500 0.781 0.786
S: 0.000 0.238 0.776
S: 0.000 0.762 0.224



# 2
Computed, not measured: a relaxed structure of NaTbTm4S8 at the PBE-GGA level of DFT.

Values from the calculation:
formation energy (no corrections)	-1.957	eV/atom
final energy	-0.4423	Ry/atom

Lattice parameters (Å, degrees): 7.999 7.999 8.045 60.19 60.19 60.00
Fractional positions:
Na: 0.374 0.374 0.878
Tb: 0.005 0.005 0.986
Tm: 0.625 0.625 0.124
Tm: 0.005 0.486 0.504
Tm: 0.486 0.005 0.504
Tm: 0.005 0.005 0.504
S: 0.241 0.783 0.734
S: 0.783 0.241 0.734
S: 0.241 0.241 0.734
S: 0.238 0.238 0.285
S: 0.755 0.228 0.262
S: 0.228 0.755 0.262
S: 0.755 0.755 0.262
S: 0.758 0.758 0.726



# 3
Computed, not measured: a relaxed structure of Na4Tb3TmS8 at the PBE-GGA level of DFT.

Values from the calculation:
formation energy (no corrections)	-1.848	eV/atom
final energy	-0.3961	Ry/atom

Lattice parameters (Å, degrees): 7.973 8.116 7.973 119.45 120.00 90.00
Fractional positions:
Na: 0.500 0.000 0.000
Na: 0.500 0.000 0.500
Na: 0.000 0.000 0.000
Na: 0.000 0.000 0.500
Tb: 0.500 0.500 0.000
Tb: 0.500 0.500 0.500
Tb: 0.000 0.500 0.500
Tm: 0.000 0.500 0.000
S: 0.240 0.726 0.986
S: 0.240 0.726 0.480
S: 0.257 0.272 0.515
S: 0.746 0.726 0.986
S: 0.254 0.274 0.014
S: 0.743 0.728 0.485
S: 0.760 0.274 0.520
S: 0.760 0.274 0.014



# 4
Computed, not measured: a relaxed structure of Na3Tb2TmS6 at the PBE-GGA level of DFT.

Values from the calculation:
formation energy (no corrections)	-1.848	eV/atom
final energy	-0.3959	Ry/atom

Lattice parameters (Å, degrees): 6.894 6.894 7.066 99.36 99.36 120.00
Fractional positions:
Na: 0.167 0.833 0.500
Na: 0.833 0.167 0.500
Na: 0.500 0.500 0.500
Tb: 0.333 0.667 0.000
Tb: 0.667 0.333 0.000
Tm: 0.000 0.000 0.000
S: 0.925 0.596 0.774
S: 0.746 0.746 0.226
S: 0.075 0.404 0.226
S: 0.596 0.925 0.774
S: 0.254 0.254 0.774
S: 0.404 0.075 0.226



# 5
Computed, not measured: a relaxed structure of NaTb2US6 at the PBE-GGA level of DFT.

Values from the calculation:
formation energy (no corrections)	-1.661	eV/atom
final energy	-0.4648	Ry/atom

Lattice parameters (Å, degrees): 6.940 6.939 7.396 62.02 62.02 60.00
Fractional positions:
Na: 0.805 0.805 0.585
Tb: 0.522 0.522 0.435
Tb: 0.009 0.009 0.973
U: 0.325 0.325 0.026
S: 0.590 0.227 0.244
S: 0.227 0.938 0.244
S: 0.938 0.590 0.244
S: 0.389 0.716 0.754
S: 0.716 0.141 0.754
S: 0.141 0.389 0.754



# 6
Computed, not measured: a relaxed structure of Na4Tb3US8 at the PBE-GGA level of DFT.

Values from the calculation:
formation energy (no corrections)	-1.704	eV/atom
final energy	-0.4168	Ry/atom

Lattice parameters (Å, degrees): 8.006 8.135 8.006 119.49 120.00 90.00
Fractional positions:
Na: 0.500 0.000 0.000
Na: 0.500 0.000 0.500
Na: 0.000 0.000 0.000
Na: 0.000 0.000 0.500
Tb: 0.500 0.500 0.000
Tb: 0.500 0.500 0.500
Tb: 0.000 0.500 0.500
U: 0.000 0.500 0.000
S: 0.243 0.729 0.986
S: 0.243 0.729 0.485
S: 0.257 0.272 0.514
S: 0.743 0.729 0.986
S: 0.257 0.271 0.014
S: 0.743 0.728 0.486
S: 0.757 0.271 0.515
S: 0.757 0.271 0.014



# 7
Computed, not measured: a relaxed structure of NaTb2US5 at the PBE-GGA level of DFT.

Values from the calculation:
formation energy (no corrections)	-1.523	eV/atom
final energy	-0.4591	Ry/atom

Lattice parameters (Å, degrees): 4.988 6.980 8.075 115.61 107.99 90.00
Fractional positions:
Na: 0.000 0.500 0.000
Tb: 0.202 0.202 0.405
Tb: 0.798 0.798 0.595
U: 0.500 0.000 0.000
S: 0.653 0.911 0.306
S: 0.347 0.089 0.694
S: 0.347 0.606 0.694
S: 0.653 0.394 0.306
S: 0.000 0.000 0.000



# 8
Computed, not measured: a relaxed structure of NaTb4US8 at the PBE-GGA level of DFT.

Values from the calculation:
formation energy (no corrections)	-1.797	eV/atom
final energy	-0.4689	Ry/atom

Lattice parameters (Å, degrees): 8.132 8.132 8.144 60.05 60.05 60.00
Fractional positions:
Na: 0.375 0.375 0.876
Tb: 0.626 0.626 0.122
Tb: 0.005 0.489 0.502
Tb: 0.489 0.005 0.502
Tb: 0.005 0.005 0.502
U: 0.003 0.003 0.991
S: 0.238 0.784 0.740
S: 0.784 0.238 0.740
S: 0.238 0.238 0.740
S: 0.239 0.239 0.282
S: 0.757 0.227 0.260
S: 0.227 0.757 0.260
S: 0.757 0.757 0.260
S: 0.759 0.759 0.724



# 9
Computed, not measured: a relaxed structure of Na3TbU2S6 at the PBE-GGA level of DFT.

Values from the calculation:
formation energy (no corrections)	-1.499	eV/atom
final energy	-0.4527	Ry/atom

Lattice parameters (Å, degrees): 6.889 6.889 7.122 99.28 99.28 120.00
Fractional positions:
Na: 0.166 0.834 0.500
Na: 0.834 0.166 0.500
Na: 0.500 0.500 0.500
Tb: 0.000 0.000 0.000
U: 0.333 0.667 0.000
U: 0.667 0.333 0.000
S: 0.923 0.589 0.770
S: 0.742 0.742 0.230
S: 0.077 0.411 0.230
S: 0.589 0.923 0.770
S: 0.258 0.258 0.770
S: 0.411 0.077 0.230



# 10
Computed, not measured: a relaxed structure of NaTbUS4 at the PBE-GGA level of DFT.

Values from the calculation:
formation energy (no corrections)	-1.618	eV/atom
final energy	-0.4732	Ry/atom

Lattice parameters (Å, degrees): 8.207 8.148 8.130 119.93 90.00 120.24
Fractional positions:
Na: 0.879 0.759 0.129
Na: 0.121 0.241 0.871
Tb: 0.500 0.000 0.500
Tb: 0.500 0.000 0.000
U: 0.500 0.500 0.500
U: 0.000 0.500 0.500
S: 0.740 0.481 0.710
S: 0.290 0.033 0.267
S: 0.743 0.033 0.267
S: 0.740 0.481 0.270
S: 0.260 0.519 0.730
S: 0.710 0.967 0.733
S: 0.257 0.967 0.733
S: 0.260 0.519 0.290



# 11
Computed, not measured: a relaxed structure of Na4TbU3S8 at the PBE-GGA level of DFT.

Values from the calculation:
formation energy (no corrections)	-1.460	eV/atom
final energy	-0.4600	Ry/atom

Lattice parameters (Å, degrees): 7.934 8.163 7.934 119.09 120.00 90.00
Fractional positions:
Na: 0.500 0.000 0.000
Na: 0.500 0.000 0.500
Na: 0.000 0.000 0.000
Na: 0.000 0.000 0.500
Tb: 0.000 0.500 0.000
U: 0.500 0.500 0.000
U: 0.500 0.500 0.500
U: 0.000 0.500 0.500
S: 0.244 0.731 0.987
S: 0.244 0.731 0.488
S: 0.256 0.269 0.513
S: 0.743 0.731 0.987
S: 0.257 0.269 0.013
S: 0.744 0.731 0.487
S: 0.756 0.269 0.512
S: 0.756 0.269 0.013



# 12
Computed, not measured: a relaxed structure of Na2TbUS6 at the PBE-GGA level of DFT.

Values from the calculation:
formation energy (no corrections)	-1.217	eV/atom
final energy	-0.4079	Ry/atom

Lattice parameters (Å, degrees): 6.918 7.354 9.803 90.00 88.69 90.00
Fractional positions:
Na: 0.028 0.926 0.255
Na: 0.528 0.574 0.755
Na: 0.972 0.074 0.745
Na: 0.472 0.426 0.245
Tb: 0.500 0.000 0.000
Tb: 0.000 0.500 0.500
U: 0.500 0.000 0.500
U: 0.000 0.500 0.000
S: 0.288 0.698 0.064
S: 0.788 0.802 0.564
S: 0.712 0.302 0.936
S: 0.212 0.198 0.436
S: 0.311 0.715 0.430
S: 0.811 0.785 0.930
S: 0.689 0.285 0.570
S: 0.189 0.215 0.070
S: 0.870 0.538 0.241
S: 0.370 0.962 0.741
S: 0.130 0.462 0.759
S: 0.630 0.038 0.259



# 13
Computed, not measured: a relaxed structure of Na3Tb3US8 at the PBE-GGA level of DFT.

Values from the calculation:
formation energy (no corrections)	-1.735	eV/atom
final energy	-0.4321	Ry/atom

Lattice parameters (Å, degrees): 8.012 8.012 8.159 119.43 90.00 120.00
Fractional positions:
Na: 0.000 0.000 0.000
Na: 0.000 0.500 0.000
Na: 0.500 0.500 0.000
Tb: 0.500 0.000 0.500
Tb: 0.500 0.500 0.500
Tb: 0.000 0.500 0.500
U: 0.000 0.000 0.500
S: 0.258 0.515 0.273
S: 0.742 0.485 0.727
S: 0.763 0.527 0.280
S: 0.237 0.473 0.720
S: 0.763 0.017 0.280
S: 0.237 0.983 0.720
S: 0.253 0.017 0.280
S: 0.747 0.983 0.720



# 14
Computed, not measured: a relaxed structure of Na3Tb2US6 at the PBE-GGA level of DFT.

Values from the calculation:
formation energy (no corrections)	-1.653	eV/atom
final energy	-0.4232	Ry/atom

Lattice parameters (Å, degrees): 6.937 6.937 7.081 99.39 99.39 119.99
Fractional positions:
Na: 0.168 0.832 0.500
Na: 0.832 0.168 0.500
Na: 0.500 0.500 0.500
Tb: 0.333 0.667 0.000
Tb: 0.667 0.333 0.000
U: 0.000 0.000 0.000
S: 0.924 0.591 0.771
S: 0.743 0.743 0.229
S: 0.076 0.409 0.229
S: 0.591 0.924 0.771
S: 0.257 0.257 0.771
S: 0.409 0.076 0.229



# 15
Computed, not measured: a relaxed structure of Na3Tb3VS8 at the PBE-GGA level of DFT.

Values from the calculation:
formation energy (no corrections)	-1.569	eV/atom
final energy	-0.4092	Ry/atom

Lattice parameters (Å, degrees): 7.773 7.773 8.115 118.63 90.00 120.00
Fractional positions:
Na: 0.000 0.000 0.000
Na: 0.000 0.500 0.000
Na: 0.500 0.500 0.000
Tb: 0.500 0.000 0.500
Tb: 0.500 0.500 0.500
Tb: 0.000 0.500 0.500
V: 0.000 0.000 0.500
S: 0.256 0.513 0.270
S: 0.744 0.487 0.730
S: 0.780 0.560 0.291
S: 0.220 0.440 0.709
S: 0.780 0.011 0.291
S: 0.220 0.989 0.709
S: 0.230 0.011 0.291
S: 0.770 0.989 0.709



# 16
Computed, not measured: a relaxed structure of Na3Tb3WS8 at the PBE-GGA level of DFT.

Values from the calculation:
formation energy (no corrections)	-1.490	eV/atom
final energy	-0.4222	Ry/atom

Lattice parameters (Å, degrees): 7.783 7.783 8.140 118.58 90.00 120.00
Fractional positions:
Na: 0.000 0.000 0.000
Na: 0.000 0.500 0.000
Na: 0.500 0.500 0.000
Tb: 0.500 0.000 0.500
Tb: 0.500 0.500 0.500
Tb: 0.000 0.500 0.500
W: 0.000 0.000 0.500
S: 0.257 0.514 0.270
S: 0.743 0.486 0.730
S: 0.777 0.554 0.287
S: 0.223 0.446 0.713
S: 0.777 0.010 0.288
S: 0.223 0.990 0.712
S: 0.233 0.010 0.288
S: 0.767 0.990 0.712



# 17
Computed, not measured: a relaxed structure of NaTb4YS8 at the PBE-GGA level of DFT.

Values from the calculation:
formation energy (no corrections)	-1.960	eV/atom
final energy	-0.4555	Ry/atom

Lattice parameters (Å, degrees): 8.133 8.133 8.127 59.97 59.97 60.00
Fractional positions:
Na: 0.375 0.375 0.875
Tb: 0.625 0.625 0.125
Tb: 0.004 0.487 0.505
Tb: 0.487 0.004 0.505
Tb: 0.004 0.004 0.505
Y: 0.004 0.004 0.987
S: 0.239 0.783 0.739
S: 0.783 0.239 0.739
S: 0.239 0.239 0.739
S: 0.239 0.239 0.283
S: 0.759 0.226 0.257
S: 0.226 0.759 0.257
S: 0.759 0.759 0.257
S: 0.758 0.758 0.726



# 18
Computed, not measured: a relaxed structure of Na3Tb2YS6 at the PBE-GGA level of DFT.

Values from the calculation:
formation energy (no corrections)	-1.848	eV/atom
final energy	-0.4081	Ry/atom

Lattice parameters (Å, degrees): 6.927 6.927 7.072 99.39 99.39 120.00
Fractional positions:
Na: 0.167 0.833 0.500
Na: 0.833 0.167 0.500
Na: 0.500 0.500 0.500
Tb: 0.333 0.667 0.000
Tb: 0.667 0.333 0.000
Y: 0.000 0.000 0.000
S: 0.924 0.592 0.773
S: 0.743 0.743 0.227
S: 0.076 0.408 0.227
S: 0.592 0.924 0.773
S: 0.257 0.257 0.773
S: 0.408 0.076 0.227



# 19
Computed, not measured: a relaxed structure of NaTbY2S4 at the PBE-GGA level of DFT.

Values from the calculation:
formation energy (no corrections)	-1.927	eV/atom
final energy	-0.4668	Ry/atom

Lattice parameters (Å, degrees): 3.920 6.842 6.838 70.89 90.00 90.00
Fractional positions:
Na: 0.500 0.500 0.000
Tb: 0.000 0.500 0.500
Y: 0.000 0.000 0.000
Y: 0.500 0.000 0.500
S: 0.000 0.756 0.745
S: 0.000 0.244 0.255
S: 0.500 0.751 0.250
S: 0.500 0.249 0.750